Record 1
Computed, not measured: a crystal of SiHg2Pb relaxed with PBEsol at the meta-GGA SCAN level of DFT.

a = 4.2691 Å, b = 4.2691 Å, c = 5.0058 Å
α = 90.00°, β = 90.00°, γ = 90.00°
Closest atoms and distances in Å follow each position.
Fractional positions:
1 Pb 0.5000 0.5000 0.5000  4 Si 3.02, 8 Hg 3.29
2 Hg 0.5000 0.0000 0.0000  4 Hg 3.02, 4 Pb 3.29, 4 Si 3.29
3 Hg 0.0000 0.5000 0.0000  4 Hg 3.02, 4 Pb 3.29, 4 Si 3.29
4 Si 0.0000 0.0000 0.5000  4 Pb 3.02, 8 Hg 3.29

Calculated values
SG: No. 123
polymorph energy (0 for the lowest one): 159 meV per atom
raw total energy: -220.39 eV/f.u.
spin magnetization: 0.00 μB/atom

=====

Record 2
Computed, not measured: a crystal of CaTa3Pt relaxed with PBEsol at the meta-GGA SCAN level of DFT.

a = 4.9307 Å, b = 4.9307 Å, c = 4.9307 Å
α = 90.00°, β = 90.00°, γ = 90.00°
Closest atoms and distances in Å follow each position.
Fractional positions:
1 Pt 0.0000 0.0000 0.0000  6 Ta 2.47
2 Ca 0.5000 0.5000 0.5000  12 Ta 3.49
3 Ta 0.0000 0.5000 0.0000  2 Pt 2.47
4 Ta 0.0000 0.0000 0.5000  2 Pt 2.47
5 Ta 0.5000 0.0000 0.0000  2 Pt 2.47

Calculated values
SG: No. 221
raw total energy: -275.00 eV/f.u.
energy relative to the elements: 0.922 eV per atom
spin magnetization: 0.00 μB/atom